Record 1
Below is Ba3Fe2O4F3 after structural relaxation, with properties calculated at the PBE+U level.

Output
- total moment (Bohr magnetons per cell) = 9.000
- final energy (eV/atom) = -6.06

POSCAR file:
```
Ba3Fe2O4F3
1.0
-2.018 2.104 11.047
2.018 -2.104 11.047
2.018 2.104 -11.047
Ba Fe O F
3 2 4 3
direct
0.000 0.000 0.000
0.185 0.185 0.000
0.815 0.815 0.000
0.395 0.395 0.000
0.605 0.605 0.000
0.305 0.305 0.000
0.406 0.906 0.500
0.594 0.094 0.500
0.695 0.695 0.000
0.089 0.589 0.500
0.500 0.500 0.000
0.911 0.411 0.500
```

---

Record 2
Below is BaFe2P2O7F2 after structural relaxation, with properties calculated at the PBE+U level.

Output
- total moment (Bohr magnetons per cell) = 16.000
- final energy (eV/atom) = -6.91

POSCAR file:
```
BaFe2P2O7F2
1.0
6.905 0.000 0.000
0.000 12.087 0.000
0.000 0.000 4.673
Ba Fe P O F
2 4 4 14 4
direct
0.250 0.250 0.102
0.750 0.750 0.898
0.000 0.000 0.500
0.000 0.500 0.500
0.500 0.000 0.500
0.500 0.500 0.500
0.250 0.626 0.987
0.250 0.874 0.987
0.750 0.126 0.013
0.750 0.374 0.013
0.064 0.616 0.810
0.064 0.884 0.810
0.250 0.551 0.251
0.250 0.750 0.124
0.250 0.949 0.251
0.436 0.616 0.810
0.436 0.884 0.810
0.564 0.116 0.190
0.564 0.384 0.190
0.750 0.051 0.749
0.750 0.250 0.876
0.750 0.449 0.749
0.936 0.116 0.190
0.936 0.384 0.190
0.250 0.113 0.627
0.250 0.387 0.627
0.750 0.613 0.373
0.750 0.887 0.373
```

---

Record 3
Below is BaFePb2F8 after structural relaxation, with properties calculated at the PBE+U level.

Output
- total moment (Bohr magnetons per cell) = 4.000
- final energy (eV/atom) = -5.22

POSCAR file:
```
BaFePb2F8
1.0
4.355 0.000 0.000
-0.556 5.750 0.000
-0.015 -0.002 8.164
Ba Fe Pb F
1 1 2 8
direct
0.000 0.000 0.000
0.000 0.000 0.500
0.498 0.500 0.731
0.502 0.500 0.269
0.047 0.761 0.286
0.049 0.763 0.714
0.407 0.219 0.500
0.479 0.737 0.000
0.521 0.263 0.000
0.593 0.781 0.500
0.951 0.237 0.286
0.953 0.239 0.714
```

---

Record 4
Below is BaFe2PtF after structural relaxation, with properties calculated at the PBE+U level.

Output
- total moment (Bohr magnetons per cell) = 3.048
- final energy (eV/atom) = -2.23

POSCAR file:
```
BaFe2PtF
1.0
6.188 0.000 0.000
0.000 6.188 0.000
0.000 0.000 5.392
Ba Fe Pt F
1 2 1 1
direct
0.000 0.000 0.000
0.000 0.500 0.000
0.500 0.000 0.000
0.000 0.000 0.500
0.500 0.500 0.500
```

---

Record 5
Below is BaFeSF2 after structural relaxation, with properties calculated at the PBE+U level.

Output
- total moment (Bohr magnetons per cell) = 8.010
- final energy (eV/atom) = -5.43

POSCAR file:
```
BaFeSF2
1.0
0.000 4.507 4.818
4.330 0.000 4.818
4.330 4.507 0.000
Ba Fe S F
2 2 2 4
direct
0.245 0.245 0.755
0.755 0.755 0.245
0.000 0.000 0.500
0.500 0.500 0.000
0.250 0.250 0.250
0.750 0.750 0.750
0.185 0.815 0.815
0.317 0.683 0.317
0.683 0.317 0.683
0.815 0.185 0.185
```

---

Record 6
Below is BaFeSn2F8 after structural relaxation, with properties calculated at the PBE+U level.

Output
- total moment (Bohr magnetons per cell) = 4.019
- final energy (eV/atom) = -5.22

POSCAR file:
```
BaFeSn2F8
1.0
4.950 0.000 0.000
-0.021 5.366 0.000
-0.764 -0.048 7.898
Ba Fe Sn F
1 1 2 8
direct
0.000 0.000 0.000
0.000 0.000 0.500
0.457 0.519 0.267
0.543 0.481 0.733
0.161 0.240 0.716
0.180 0.160 0.311
0.305 0.699 0.549
0.424 0.742 0.925
0.576 0.258 0.075
0.695 0.301 0.451
0.820 0.840 0.689
0.839 0.760 0.284
```